Computed, not measured: a relaxed structure of CePm2CuS5 at the PBE level of DFT.

Cell: 3.9027 8.5209 12.0196 Å, 90.00 90.00 103.24°
With the nearest neighbours (Å) after each atom.
Sites, in units of the cell vectors:
Pm (0.1166, 0.2333, 0.3489)  7 S 2.90-3.03
Pm (0.8866, 0.7732, 0.1916)  8 S 2.90-3.08
Pm (0.8834, 0.7667, 0.8489)  7 S 2.90-3.03
Pm (0.1134, 0.2268, 0.6916)  8 S 2.90-3.08
S (0.7012, 0.4024, 0.1951)  2 Ce 2.82, 3 Pm 3.03-3.08
S (0.9872, 0.9744, 0.5115)  2 Cu 2.31
S (0.3450, 0.6900, 0.0203)  1 Ce 2.78, 4 Pm 2.91-2.92
S (0.4909, 0.9818, 0.7482)  1 Cu 2.27
S (0.3187, 0.6373, 0.3592)  1 Cu 2.35
S (0.5091, 0.0182, 0.2482)  1 Cu 2.27
S (0.2988, 0.5976, 0.6951)  2 Ce 2.82, 3 Pm 3.03-3.08
S (0.6813, 0.3627, 0.8592)  1 Cu 2.35
S (0.0128, 0.0256, 0.0115)  2 Cu 2.31
S (0.6550, 0.3100, 0.5203)  1 Ce 2.78, 4 Pm 2.91-2.92
Ce (0.8224, 0.6448, 0.5288)  6 S 2.74-2.82
Ce (0.1776, 0.3552, 0.0288)  6 S 2.74-2.82
Cu (0.4530, 0.9060, 0.4204)  4 S 2.27-2.35
Cu (0.5470, 0.0940, 0.9204)  4 S 2.27-2.35

For the energy, the calculation gives -6.18 eV per atom. Its crystal system is orthorhombic.